Record 1
VASP calculation (GGA-PBE) on U2FeCo3P4 after structural relaxation.

Calculated values
The value obtained for the volume is 137.48 Å³/cell. The energy of formation from the pure elements is -78.88 kJ/mol of atoms. The value obtained for the density is 10.06 g/cm³. The density of states at the Fermi level comes out at 15.92 states/eV/f.u.

```
data_U2FeCo3P4
_symmetry_space_group_name_H-M 'P -4 m 2'
_symmetry_Int_Tables_number 115
_cell_length_a 3.936
_cell_length_b 3.936
_cell_length_c 8.872
_cell_angle_alpha 90.00
_cell_angle_beta 90.00
_cell_angle_gamma 90.00
loop_
_symmetry_equiv_pos_as_xyz
'x,y,z'
'y,-x,-z'
'-x,-y,z'
'-y,x,-z'
'-x,y,z'
'-y,-x,-z'
'x,-y,z'
'y,x,-z'
loop_
_atom_site_label
_atom_site_type_symbol
_atom_site_fract_x
_atom_site_fract_y
_atom_site_fract_z
U1 U 0.000 0.500 0.250
Fe1 Fe 0.000 0.000 0.500
Co1 Co 0.000 0.500 0.886
Co2 Co 0.500 0.500 0.500
P1 P 0.000 0.000 0.000
P2 P 0.000 0.500 0.634
P3 P 0.500 0.500 0.000
```

***

Record 2
VASP calculation (GGA-PBE) on UFeCoP2 after structural relaxation.

Calculated values
The value obtained for the volume is 135.89 Å³/cell. The energy of formation from the pure elements is -76.69 kJ/mol of atoms. The value obtained for the density is 10.14 g/cm³. The density of states at the Fermi level comes out at 7.35 states/eV/f.u.

```
data_UFeCoP2
_symmetry_space_group_name_H-M 'I -4 m 2'
_symmetry_Int_Tables_number 119
_symmetry_space_group_name_Hall 'I -4 -2'
_cell_length_a 3.745
_cell_length_b 3.745
_cell_length_c 9.687
_cell_angle_alpha 90.00
_cell_angle_beta 90.00
_cell_angle_gamma 90.00
loop_
_atom_site_label
_atom_site_type_symbol
_atom_site_fract_x
_atom_site_fract_y
_atom_site_fract_z
U1 U 0.000 0.000 0.000
Fe1 Fe 0.000 0.500 0.750
Co1 Co 0.000 0.500 0.250
P1 P 0.000 0.000 0.377
```

***

Record 3
VASP calculation (GGA-PBE) on U2FeCo12P3 after structural relaxation.

Calculated values
The value obtained for the volume is 684.18 Å³/cell. The energy of formation from the pure elements is -7.19 kJ/mol of atoms. The value obtained for the density is 9.70 g/cm³. The density of states at the Fermi level comes out at 16.82 states/eV/f.u.

```
data_U2FeCo12P3
_symmetry_space_group_name_H-M 'R -3 m'
_symmetry_Int_Tables_number 166
_symmetry_space_group_name_Hall '-R 3 2"'
_cell_length_a 8.0633
_cell_length_b 8.0633
_cell_length_c 12.1511
_cell_angle_alpha 90.00
_cell_angle_beta 90.00
_cell_angle_gamma 120.00
loop_
_atom_site_label
_atom_site_type_symbol
_atom_site_fract_x
_atom_site_fract_y
_atom_site_fract_z
U1 U 0.0000 0.0000 0.1357
Fe1 Fe 0.0000 0.0000 0.5000
Co1 Co 0.0149 0.5075 0.3805
Co2 Co 0.0160 0.5080 0.8202
P1 P 0.0000 0.5000 0.0000
```

***

Record 4
VASP calculation (GGA-PBE) on FeCo2PW after structural relaxation.

Calculated values
The value obtained for the volume is 67.78 Å³/cell. The energy of formation from the pure elements is 55.79 kJ/mol of atoms. The value obtained for the density is 9.52 g/cm³. The density of states at the Fermi level comes out at 4.71 states/eV/f.u.

```
data_FeCo2PW
_symmetry_space_group_name_H-M 'P 4/m m m'
_symmetry_Int_Tables_number 123
_symmetry_space_group_name_Hall '-P 4 2'
_cell_length_a 4.048
_cell_length_b 4.048
_cell_length_c 4.137
_cell_angle_alpha 90.00
_cell_angle_beta 90.00
_cell_angle_gamma 90.00
loop_
_atom_site_label
_atom_site_type_symbol
_atom_site_fract_x
_atom_site_fract_y
_atom_site_fract_z
Fe1 Fe 0.000 0.000 0.000
Co1 Co 0.000 0.500 0.500
P1 P 0.000 0.000 0.500
W1 W 0.500 0.500 0.000
```

***

Record 5
VASP calculation (GGA-PBE) on ZrFeCoP2 after structural relaxation.

Calculated values
The value obtained for the volume is 127.98 Å³/cell. The energy of formation from the pure elements is -87.85 kJ/mol of atoms. The value obtained for the density is 6.95 g/cm³. The density of states at the Fermi level comes out at 2.41 states/eV/f.u.

```
data_ZrFeCoP2
_symmetry_space_group_name_H-M 'I -4 m 2'
_symmetry_Int_Tables_number 119
_symmetry_space_group_name_Hall 'I -4 -2'
_cell_length_a 3.680
_cell_length_b 3.680
_cell_length_c 9.451
_cell_angle_alpha 90.00
_cell_angle_beta 90.00
_cell_angle_gamma 90.00
loop_
_atom_site_label
_atom_site_type_symbol
_atom_site_fract_x
_atom_site_fract_y
_atom_site_fract_z
Zr1 Zr 0.000 0.000 0.000
Fe1 Fe 0.000 0.500 0.750
Co1 Co 0.000 0.500 0.250
P1 P 0.000 0.000 0.379
```

***

Record 6
VASP calculation (GGA-PBE) on Pa2FeCo after structural relaxation.

Calculated values
The value obtained for the volume is 288.91 Å³/cell. The energy of formation from the pure elements is -3.57 kJ/mol of atoms. The value obtained for the density is 13.26 g/cm³. The density of states at the Fermi level comes out at 7.94 states/eV/f.u. Its offset from the most stable computed form is 300.0 meV/atom.

```
data_Pa2FeCo
_symmetry_space_group_name_H-M 'F m -3 m'
_symmetry_Int_Tables_number 225
_symmetry_space_group_name_Hall '-F 4 2 3'
_cell_length_a 6.611
_cell_length_b 6.611
_cell_length_c 6.611
_cell_angle_alpha 90.00
_cell_angle_beta 90.00
_cell_angle_gamma 90.00
loop_
_atom_site_label
_atom_site_type_symbol
_atom_site_fract_x
_atom_site_fract_y
_atom_site_fract_z
Pa1 Pa 0.250 0.250 0.250
Fe1 Fe 0.000 0.000 0.000
Co1 Co 0.000 0.000 0.500
```

***

Record 7
VASP calculation (GGA-PBE) on PaFeCo2 after structural relaxation.

Calculated values
The value obtained for the volume is 56.12 Å³/cell. The energy of formation from the pure elements is -21.74 kJ/mol of atoms. The value obtained for the density is 11.98 g/cm³. The density of states at the Fermi level comes out at 4.17 states/eV/f.u.

```
data_PaFeCo2
_symmetry_space_group_name_H-M 'P 4/m m m'
_symmetry_Int_Tables_number 123
_symmetry_space_group_name_Hall '-P 4 2'
_cell_length_a 3.870
_cell_length_b 3.870
_cell_length_c 3.748
_cell_angle_alpha 90.00
_cell_angle_beta 90.00
_cell_angle_gamma 90.00
loop_
_atom_site_label
_atom_site_type_symbol
_atom_site_fract_x
_atom_site_fract_y
_atom_site_fract_z
Pa1 Pa 0.000 0.000 0.000
Fe1 Fe 0.500 0.500 0.000
Co1 Co 0.000 0.500 0.500
```

***

Record 8
VASP calculation (GGA-PBE) on Pa2FeCo after structural relaxation.

Calculated values
The value obtained for the volume is 227.47 Å³/cell. The energy of formation from the pure elements is -22.78 kJ/mol of atoms. The value obtained for the density is 12.63 g/cm³. The density of states at the Fermi level comes out at 2.59 states/eV/f.u. Its offset from the most stable computed form is 100.9 meV/atom.

```
data_Pa2FeCo
_symmetry_space_group_name_H-M 'R -3 m'
_symmetry_Int_Tables_number 166
_symmetry_space_group_name_Hall '-R 3 2"'
_cell_length_a 3.7606
_cell_length_b 3.7606
_cell_length_c 18.5730
_cell_angle_alpha 90.00
_cell_angle_beta 90.00
_cell_angle_gamma 120.00
loop_
_atom_site_label
_atom_site_type_symbol
_atom_site_fract_x
_atom_site_fract_y
_atom_site_fract_z
Pa1 Pa 0.0000 0.0000 0.2482
Fe1 Fe 0.0000 0.0000 0.5000
Co1 Co 0.0000 0.0000 0.0000
```

***

Record 9
VASP calculation (GGA-PBE) on PaFeCo4 after structural relaxation.

Calculated values
The value obtained for the volume is 373.29 Å³/cell. The energy of formation from the pure elements is 36.68 kJ/mol of atoms. The value obtained for the density is 9.30 g/cm³. The density of states at the Fermi level comes out at 8.55 states/eV/f.u. Its offset from the most stable computed form is 502.7 meV/atom.

```
data_PaFeCo4
_symmetry_space_group_name_H-M 'I 41/a m d'
_symmetry_Int_Tables_number 141
_cell_length_a 4.498
_cell_length_b 4.498
_cell_length_c 18.452
_cell_angle_alpha 90.00
_cell_angle_beta 90.00
_cell_angle_gamma 90.00
loop_
_symmetry_equiv_pos_as_xyz
'x,y,z'
'-x,-y,-z'
'-y+1/4,x+3/4,z+1/4'
'y+1/4,-x+3/4,-z+1/4'
'-x+1/2,-y,z+1/2'
'x+1/2,y,-z+1/2'
'y+1/4,-x+1/4,z+3/4'
'-y+1/4,x+1/4,-z+3/4'
'x,-y,-z'
'-x,y,z'
'-y+1/4,-x+1/4,-z+3/4'
'y+1/4,x+1/4,z+3/4'
'-x+1/2,y,-z+1/2'
'x+1/2,-y,z+1/2'
'y+1/4,x+3/4,-z+1/4'
'-y+1/4,-x+3/4,z+1/4'
'x+1/2,y+1/2,z+1/2'
'-x+1/2,-y+1/2,-z+1/2'
'-y+3/4,x+1/4,z+3/4'
'y+3/4,-x+1/4,-z+3/4'
'-x,-y+1/2,z'
'x,y+1/2,-z'
'y+3/4,-x+3/4,z+1/4'
'-y+3/4,x+3/4,-z+1/4'
'x+1/2,-y+1/2,-z+1/2'
'-x+1/2,y+1/2,z+1/2'
'-y+3/4,-x+3/4,-z+1/4'
'y+3/4,x+3/4,z+1/4'
'-x,y+1/2,-z'
'x,-y+1/2,z'
'y+3/4,x+1/4,-z+3/4'
'-y+3/4,-x+1/4,z+3/4'
loop_
_atom_site_label
_atom_site_type_symbol
_atom_site_fract_x
_atom_site_fract_y
_atom_site_fract_z
Pa1 Pa 0.000 0.250 0.375
Fe1 Fe 0.000 0.250 0.875
Co1 Co 0.000 0.005 0.231
```

***

Record 10
VASP calculation (GGA-PBE) on Pa5FeCo6 after structural relaxation.

Calculated values
The value obtained for the volume is 410.52 Å³/cell. The energy of formation from the pure elements is -21.66 kJ/mol of atoms. The value obtained for the density is 12.66 g/cm³. The density of states at the Fermi level comes out at 13.28 states/eV/f.u.

```
data_Pa5FeCo6
_symmetry_space_group_name_H-M 'C 1 2/m 1'
_symmetry_Int_Tables_number 12
_cell_length_a 7.395
_cell_length_b 12.427
_cell_length_c 4.996
_cell_angle_alpha 90.00
_cell_angle_beta 116.60
_cell_angle_gamma 90.00
loop_
_symmetry_equiv_pos_as_xyz
'x,y,z'
'-x,-y,-z'
'-x,y,-z'
'x,-y,z'
'x+1/2,y+1/2,z'
'-x+1/2,-y+1/2,-z'
'-x+1/2,y+1/2,-z'
'x+1/2,-y+1/2,z'
loop_
_atom_site_label
_atom_site_type_symbol
_atom_site_fract_x
_atom_site_fract_y
_atom_site_fract_z
Pa1 Pa 0.000 0.000 0.000
Pa2 Pa 0.000 0.195 0.500
Pa3 Pa 0.000 0.381 0.000
Fe1 Fe 0.000 0.500 0.500
Co1 Co 0.189 0.000 0.559
Co2 Co 0.213 0.174 0.182
```

***

Q: What is the volume in the third record?
A: 684.18 Å³/cell

***

Q: Among the records above, which one has the lowest energy of formation from the pure elements?
A: ZrFeCoP2